RbNa3Ag2As2 | PBE-GGA | optimized geometry

Cell: 5.745 5.867 6.126 Å, 78.48 89.97 89.95°
Fractional coordinates of all 8 atoms:
Na1 0.001 0.038 0.311
Na2 0.999 0.671 0.985
Na3 0.499 0.322 0.027
Ag1 0.247 0.504 0.500
Ag2 0.754 0.504 0.500
As1 0.000 0.237 0.795
As2 0.500 0.758 0.206
Rb1 0.500 0.967 0.676

Computed properties:
* space group: P1, No. 1
* distance to the lowest polymorph of the same formula: 0.0055 eV per atom
* mass density: 4.268 g cm⁻³